Entry 1:
## Dy3In5 (PBEsol)

Data for crystalline Dy3In5 at its relaxed geometry.

Computed properties:
Size of the total moment = 0.0 Bohr magnetons per cell
Calculated volume = 24.546 Å³ per atom
Energy = -4.259 eV/atom
Energy relative to the elements = -4.2 eV per formula unit

abc: 9.7553 7.9216 10.1644
angles: 90.00 90.00 90.00
Space group Cmcm (No. 63)
Symmetry-distinct sites (fractional):
Dy 0.0000 0.1176 0.2500 (multiplicity 4)
Dy 0.2055 0.5000 0.0000 (multiplicity 8)
In 0.0000 0.1944 0.5445 (multiplicity 8)
In 0.0000 0.4967 0.7500 (multiplicity 4)
In 0.2179 0.2126 0.7500 (multiplicity 8)

***

Entry 2:
## Dy4InIr (PBEsol)

Data for crystalline Dy4InIr at its relaxed geometry.

Computed properties:
Size of the total moment = 0.0 Bohr magnetons per cell
Calculated volume = 25.231 Å³ per atom
Energy = -6.043 eV/atom
Energy relative to the elements = -3.5 eV per formula unit

abc: 13.4298 13.4298 13.4298
angles: 90.00 90.00 90.00
Space group F-43m (No. 216)
Symmetry-distinct sites (fractional):
Dy 0.0000 0.0000 0.1903 (multiplicity 24)
Dy 0.0590 0.2500 0.7500 (multiplicity 24)
Dy 0.0995 0.0995 0.4005 (multiplicity 16)
In 0.1674 0.1674 0.1674 (multiplicity 16)
Ir 0.1084 0.1084 0.6084 (multiplicity 16)

***

Entry 3:
## DyInIr (PBEsol)

Data for crystalline DyInIr at its relaxed geometry.

Computed properties:
Size of the total moment = 0.0 Bohr magnetons per cell
Calculated volume = 20.527 Å³ per atom
Energy = -6.636 eV/atom
Energy relative to the elements = -2.1 eV per formula unit

abc: 7.3885 7.3885 3.9078
angles: 90.00 90.00 120.00
Space group P-62m (No. 189)
Symmetry-distinct sites (fractional):
Dy 0.0000 0.4062 0.0000 (multiplicity 3)
In 0.0000 0.7431 0.5000 (multiplicity 3)
Ir 0.0000 0.0000 0.0000 (multiplicity 1)
Ir 0.3333 0.6667 0.5000 (multiplicity 2)

***

Entry 4:
## LiDyIn2 (PBEsol)

Data for crystalline LiDyIn2 at its relaxed geometry.

Computed properties:
Size of the total moment = 0.0 Bohr magnetons per cell
Calculated volume = 22.620 Å³ per atom
Energy = -3.657 eV/atom
Energy relative to the elements = -1.7 eV per formula unit

abc: 7.1264 7.1264 7.1264
angles: 90.00 90.00 90.00
Space group Fm-3m (No. 225)
Symmetry-distinct sites (fractional):
Li 0.0000 0.0000 0.0000 (multiplicity 4)
Dy 0.0000 0.0000 0.5000 (multiplicity 4)
In 0.2500 0.2500 0.2500 (multiplicity 8)

***

Entry 5:
## DyLuIn2 (PBEsol)

Data for crystalline DyLuIn2 at its relaxed geometry.

Computed properties:
Size of the total moment = 0.0 Bohr magnetons per cell
Calculated volume = 24.520 Å³ per atom
Energy = -4.436 eV/atom
Energy relative to the elements = -1.9 eV per formula unit

abc: 7.3206 7.3206 7.3206
angles: 90.00 90.00 90.00
Space group Fm-3m (No. 225)
Symmetry-distinct sites (fractional):
Dy 0.0000 0.0000 0.0000 (multiplicity 4)
Lu 0.0000 0.0000 0.5000 (multiplicity 4)
In 0.2500 0.2500 0.2500 (multiplicity 8)

***

Entry 6:
## DyMgIn (PBEsol)

Data for crystalline DyMgIn at its relaxed geometry.

Computed properties:
Size of the total moment = 0.0 Bohr magnetons per cell
Calculated volume = 24.511 Å³ per atom
Energy = -3.651 eV/atom
Energy relative to the elements = -1.3 eV per formula unit

abc: 7.4283 7.4283 4.6163
angles: 90.00 90.00 120.00
Space group P-62m (No. 189)
Symmetry-distinct sites (fractional):
Dy 0.0000 0.5653 0.0000 (multiplicity 3)
Mg 0.0000 0.2419 0.5000 (multiplicity 3)
In 0.0000 0.0000 0.0000 (multiplicity 1)
In 0.3333 0.6667 0.5000 (multiplicity 2)

***

Entry 7:
## Dy2MgIn (PBEsol)

Data for crystalline Dy2MgIn at its relaxed geometry.

Computed properties:
Size of the total moment = 0.0 Bohr magnetons per cell
Calculated volume = 25.315 Å³ per atom
Energy = -4.009 eV/atom
Energy relative to the elements = -1.4 eV per formula unit

abc: 7.3989 7.3989 7.3989
angles: 90.00 90.00 90.00
Space group Fm-3m (No. 225)
Symmetry-distinct sites (fractional):
Dy 0.2500 0.2500 0.2500 (multiplicity 8)
Mg 0.0000 0.0000 0.0000 (multiplicity 4)
In 0.0000 0.0000 0.5000 (multiplicity 4)

***

Entry 8:
## Dy3InN (PBEsol)

Data for crystalline Dy3InN at its relaxed geometry.

Computed properties:
Size of the total moment = 0.0 Bohr magnetons per cell
Raw formation energy = -107 kJ per mole of atoms
Calculated volume = 21.429 Å³ per atom
Energy = -6.398 eV/atom

abc: 4.7496 4.7496 4.7496
angles: 90.00 90.00 90.00
Space group Pm-3m (No. 221)
Symmetry-distinct sites (fractional):
Dy 0.0000 0.0000 0.5000 (multiplicity 3)
In 0.5000 0.5000 0.5000 (multiplicity 1)
N 0.0000 0.0000 0.0000 (multiplicity 1)

***

Entry 9:
## NdDyIn2 (PBEsol)

Data for crystalline NdDyIn2 at its relaxed geometry.

Computed properties:
Size of the total moment = 0.0 Bohr magnetons per cell
Calculated volume = 26.328 Å³ per atom
Energy = -4.552 eV/atom
Energy relative to the elements = -2.1 eV per formula unit

abc: 7.4963 7.4963 7.4963
angles: 90.00 90.00 90.00
Space group Fm-3m (No. 225)
Symmetry-distinct sites (fractional):
Nd 0.0000 0.0000 0.0000 (multiplicity 4)
Dy 0.0000 0.0000 0.5000 (multiplicity 4)
In 0.2500 0.2500 0.2500 (multiplicity 8)

***

Entry 10:
## Dy5In4Ni2 (PBEsol)

Data for crystalline Dy5In4Ni2 at its relaxed geometry.

Computed properties:
Size of the total moment = 0.0 Bohr magnetons per cell
Calculated volume = 22.298 Å³ per atom
Energy = -5.032 eV/atom
Energy relative to the elements = -6.2 eV per formula unit

abc: 7.8178 17.6649 3.5521
angles: 90.00 90.00 90.00
Space group Pbam (No. 55)
Symmetry-distinct sites (fractional):
Dy 0.0000 0.0000 0.0000 (multiplicity 2)
Dy 0.1175 0.4128 0.0000 (multiplicity 4)
Dy 0.2483 0.2222 0.0000 (multiplicity 4)
In 0.0695 0.8482 0.5000 (multiplicity 4)
In 0.2070 0.5701 0.5000 (multiplicity 4)
Ni 0.0268 0.3045 0.5000 (multiplicity 4)

***

Entry 11:
## DyIn2Pd (PBEsol)

Data for crystalline DyIn2Pd at its relaxed geometry.

Computed properties:
Size of the total moment = 0.0 Bohr magnetons per cell
Calculated volume = 20.949 Å³ per atom
Energy = -4.939 eV/atom
Energy relative to the elements = -2.9 eV per formula unit

abc: 13.6143 13.6143 9.0422
angles: 90.00 90.00 90.00
Space group I4mm (No. 107)
Symmetry-distinct sites (fractional):
Dy 0.0000 0.0000 0.0000 (multiplicity 2)
Dy 0.0000 0.0000 0.4725 (multiplicity 2)
Dy 0.0000 0.2800 0.3989 (multiplicity 8)
Dy 0.2021 0.2021 0.8848 (multiplicity 8)
In 0.0000 0.1630 0.7282 (multiplicity 8)
In 0.0000 0.3825 0.8732 (multiplicity 8)
In 0.1305 0.1305 0.2336 (multiplicity 8)
In 0.1423 0.3499 0.1356 (multiplicity 16)
Pd 0.0000 0.2143 0.0355 (multiplicity 8)
Pd 0.0000 0.5000 0.1240 (multiplicity 4)
Pd 0.1608 0.1608 0.5415 (multiplicity 8)

***

Entry 12:
## Dy2InPd2 (PBEsol)

Data for crystalline Dy2InPd2 at its relaxed geometry.

Computed properties:
Size of the total moment = 0.0 Bohr magnetons per cell
Calculated volume = 21.056 Å³ per atom
Energy = -5.852 eV/atom
Energy relative to the elements = -4.4 eV per formula unit

abc: 7.5917 7.5917 3.6534
angles: 90.00 90.00 90.00
Space group P4/mbm (No. 127)
Symmetry-distinct sites (fractional):
Dy 0.1731 0.3269 0.0000 (multiplicity 4)
In 0.0000 0.0000 0.5000 (multiplicity 2)
Pd 0.1282 0.6282 0.5000 (multiplicity 4)

***

Across the entries above, mass density takes the values 8.977; 10.498; 12.661; 7.324; 9.601; 6.811; 7.611; 9.552; 8.457; 9.405; 9.879; 10.294 Mg/m³, respectively.